(1)
DFT (GGA-PBE) results for crystalline RbTcBr6 at its relaxed geometry.

Structure (POSCAR):
```
RbTcBr6
1.0
0.000 5.967 5.967
5.967 0.000 5.967
5.967 5.967 0.000
Rb Tc Br
1 1 6
direct
0.000 0.000 0.000 Rb
0.500 0.500 0.500 Tc
0.291 0.291 0.709 Br
0.291 0.709 0.291 Br
0.291 0.709 0.709 Br
0.709 0.291 0.291 Br
0.709 0.291 0.709 Br
0.709 0.709 0.291 Br
```

Summary:
As for the space group: Fm-3m. The calculation puts the formation energy without anion corrections at -0.5745 eV per atom. The volume is 424.9 Å³ per cell. The energy above the most stable polymorph in this dataset is 0.066 eV/atom. As for the density of states at the Fermi level: 16.7 states/eV per cell.


(2)
DFT (GGA-PBE) results for crystalline Pm2Cd5In at its relaxed geometry.

Structure (POSCAR):
```
Pm2Cd5In
1.0
6.646 0.000 0.000
0.000 13.295 0.000
0.000 0.000 4.607
Pm Cd In
4 10 2
direct
0.241 0.123 0.000 Pm
0.259 0.623 0.000 Pm
0.741 0.377 0.000 Pm
0.759 0.877 0.000 Pm
0.000 0.500 0.500 Cd
0.009 0.751 0.500 Cd
0.241 0.373 0.000 Cd
0.259 0.873 0.000 Cd
0.491 0.251 0.500 Cd
0.500 0.000 0.500 Cd
0.509 0.749 0.500 Cd
0.741 0.127 0.000 Cd
0.759 0.627 0.000 Cd
0.991 0.249 0.500 Cd
0.000 0.000 0.500 In
0.500 0.500 0.500 In
```

Summary:
As for the space group: Pbam. For the formation energy, the calculation gives -298 meV per atom. The volume is 407.1 Å³ per cell. The energy above the most stable polymorph in this dataset is 0.000 eV/atom. As for the density of states at the Fermi level: 15.9 states/eV per cell.


(3)
DFT (GGA-PBE) results for crystalline KReP4 at its relaxed geometry.

Structure (POSCAR):
```
KReP4
1.0
0.000 3.946 3.946
3.946 0.000 3.946
3.946 3.946 0.000
K Re P
1 1 4
direct
0.000 0.000 0.000 K
0.250 0.250 0.250 Re
0.191 0.603 0.603 P
0.603 0.191 0.603 P
0.603 0.603 0.191 P
0.603 0.603 0.603 P
```

Summary:
As for the space group: F-43m. For the formation energy, the calculation gives 991 meV per atom. The volume is 122.9 Å³ per cell. As for the density of states at the Fermi level: 3.6 states/eV per cell.


(4)
DFT (GGA-PBE) results for crystalline AcLa2Ag at its relaxed geometry.

Structure (POSCAR):
```
AcLa2Ag
1.0
3.865 0.000 0.000
0.000 3.865 0.000
0.000 0.000 9.086
Ac La Ag
1 2 1
direct
0.000 0.000 0.000 Ac
0.500 0.500 0.293 La
0.500 0.500 0.707 La
0.000 0.000 0.500 Ag
```

Summary:
As for the space group: P4/mmm. For the formation energy, the calculation gives -117 meV per atom. The volume is 135.7 Å³ per cell. The energy above the most stable polymorph in this dataset is 0.000 eV/atom. As for the density of states at the Fermi level: 6.4 states/eV per cell.


Q: Which formula does entry 3 have?
A: KReP4


Q: Number 1 is which compound?
A: RbTcBr6


Q: What is the formula in the second record?
A: Pm2Cd5In